No. 1
First-principles (PBE) data for an optimized crystal structure of Tb2Pr2H, as listed in Alexandria.

abc: 5.139 5.105 5.105
angles: 90.00 90.00 90.00
Sites, in units of the cell vectors:
Tb (0.000, 0.000, 0.500)
Tb (0.000, 0.500, 0.000)
Pr (0.500, 0.500, 0.500)
Pr (0.500, 0.000, 0.000)
H (0.000, 0.000, 0.000)

Calculated values
- SG = No. 123
- energy (eV for the cell shown) = -23.02
- crystal system = tetragonal

=====

No. 2
First-principles (PBE) data for an optimized crystal structure of Tb2PrH8, as listed in Alexandria.

abc: 3.723 5.303 6.460
angles: 114.23 106.75 90.00
Sites, in units of the cell vectors:
Tb (0.170, 0.670, 0.341)
Tb (0.830, 0.330, 0.659)
Pr (0.500, 0.000, 0.000)
H (0.666, 0.898, 0.331)
H (0.334, 0.567, 0.669)
H (0.158, 0.158, 0.316)
H (0.000, 0.286, 0.000)
H (0.842, 0.842, 0.684)
H (0.666, 0.433, 0.331)
H (0.334, 0.102, 0.669)
H (0.000, 0.714, 0.000)

Calculated values
- SG = No. 71
- energy (eV for the cell shown) = -47.52
- crystal system = orthorhombic

=====

Values for magnetic moment, μB/f.u., ordered as above
0.000 0.000
Values for ρ, g/cm3, ordered as above
7.45 7.02